(1)
Computed, not measured: an optimized crystal structure of HfScAu at the PBE level of DFT.

CIF file:
```
data_HfScAu
_symmetry_space_group_name_H-M 'C 1 c 1'
_symmetry_Int_Tables_number 9
_cell_length_a 7.4763
_cell_length_b 8.4296
_cell_length_c 4.9071
_cell_angle_alpha 90.00
_cell_angle_beta 124.37
_cell_angle_gamma 90.00
loop_
_symmetry_equiv_pos_as_xyz
'x,y,z'
'x,-y,z+1/2'
'x+1/2,y+1/2,z'
'x+1/2,-y+1/2,z+1/2'
loop_
_atom_site_label
_atom_site_fract_x
_atom_site_fract_y
_atom_site_fract_z
Hf1 0.0000 0.0865 0.0000
Sc1 0.3173 0.1957 0.7916
Au1 0.0660 0.4076 0.9895
```

Formation energy: -286 meV per atom
E above lowest polymorph: 0.58 eV per formula unit



(2)
Computed, not measured: an optimized crystal structure of NaY2Ir at the PBE level of DFT.

CIF file:
```
data_NaY2Ir
_symmetry_space_group_name_H-M 'P 4/m m m'
_symmetry_Int_Tables_number 123
_symmetry_space_group_name_Hall '-P 4 2'
_cell_length_a 3.4704
_cell_length_b 3.4704
_cell_length_c 9.5203
_cell_angle_alpha 90.00
_cell_angle_beta 90.00
_cell_angle_gamma 90.00
loop_
_atom_site_label
_atom_site_fract_x
_atom_site_fract_y
_atom_site_fract_z
Na1 0.0000 0.0000 0.0000
Y1 0.5000 0.5000 0.3291
Ir1 0.0000 0.0000 0.5000
```

Formation energy: -368 meV per atom



(3)
Computed, not measured: an optimized crystal structure of BeCd2Pb at the PBE level of DFT.

CIF file:
```
data_BeCd2Pb
_symmetry_space_group_name_H-M 'F m -3 m'
_symmetry_Int_Tables_number 225
_symmetry_space_group_name_Hall '-F 4 2 3'
_cell_length_a 7.1261
_cell_length_b 7.1261
_cell_length_c 7.1261
_cell_angle_alpha 90.00
_cell_angle_beta 90.00
_cell_angle_gamma 90.00
loop_
_atom_site_label
_atom_site_fract_x
_atom_site_fract_y
_atom_site_fract_z
Be1 0.0000 0.0000 0.0000
Cd1 0.2500 0.2500 0.2500
Pb1 0.0000 0.0000 0.5000
```

Formation energy: 548 meV per atom
E above lowest polymorph: 0.98 eV per formula unit